No. 1
Below is an optimized crystal structure of Li2Tb2HoSi2, with properties calculated at the PBE level.

a = 9.308 Å, b = 9.308 Å, c = 9.308 Å
α = 27.37°, β = 27.37°, γ = 27.37°
Fractional positions:
Li1 0.105 0.105 0.105
Li2 0.895 0.895 0.895
Tb1 0.374 0.374 0.374
Tb2 0.626 0.626 0.626
Ho1 0.500 0.500 0.500
Si1 0.234 0.234 0.234
Si2 0.766 0.766 0.766

Properties
* ρ: 6.102 g/cm³
* symmetry: R-3m
* formation energy without anion corrections: -0.393 eV per atom
* crystal system: trigonal

No. 2
Below is an optimized crystal structure of LiSm2Ho2, with properties calculated at the PBE level.

a = 9.356 Å, b = 9.356 Å, c = 9.356 Å
α = 153.12°, β = 153.12°, γ = 38.38°
Fractional positions:
Li1 0.000 0.000 0.000
Sm1 0.408 0.408 0.000
Sm2 0.592 0.592 0.000
Ho1 0.250 0.750 0.500
Ho2 0.750 0.250 0.500

Properties
* ρ: 6.334 g/cm³
* symmetry: I4/mmm
* E_form: 0.445 eV per atom
* crystal system: tetragonal